Record 1
Density functional theory data (PBE) for a relaxed Pa2PPb crystal.

Cell lengths 3.4081, 3.4081, 8.1208 Å; angles 90.00, 90.00, 90.00 degrees
Last column: nearest neighbours and their distance in Å.
Space group P4/mmm (No. 123)
Asymmetric unit:
Pa  0.0000  0.0000  0.2019  4 P 2.91
P  0.5000  0.5000  0.0000  8 Pa 2.91
Pb  0.5000  0.5000  0.5000  4 Pb 3.41, 8 Pa 3.42

Results
ΔE to the lowest computed polymorph = 0.057 eV/atom
DOS at the Fermi energy = 7.69 states/eV/cell
energy of formation from the pure elements = -458 meV per atom

---

Record 2
Density functional theory data (PBE) for a relaxed PmAl4PdAu2 crystal.

Cell lengths 4.3732, 4.3732, 26.7761 Å; angles 90.00, 90.00, 120.00 degrees
Last column: nearest neighbours and their distance in Å.
Space group R-3m (No. 166, hexagonal axes)
Asymmetric unit:
Pm  0.0000  0.0000  0.0000  6 Al 3.14, 6 Au 3.46
Al  0.0000  0.0000  0.1323  3 Pd 2.69, 3 Au 2.79
Al  0.0000  0.0000  0.4032  3 Au 2.57, 1 Pd 2.59
Pd  0.0000  0.0000  0.5000  8 Al 2.59-2.69
Au  0.0000  0.0000  0.2450  6 Al 2.57-2.79

Results
DOS at the Fermi energy = 9.24 states/eV/cell
energy of formation from the pure elements = -598 meV per atom

---

Record 3
Density functional theory data (PBE) for a relaxed Ni3B crystal.

Cell lengths 2.6717, 6.8209, 4.2755 Å; angles 90.00, 90.00, 90.00 degrees
Last column: nearest neighbours and their distance in Å.
Space group Imm2 (No. 44)
Asymmetric unit:
Ni  0.0000  0.0000  0.0000  2 B 1.96
Ni  0.0000  0.1910  0.5178  2 B 2.02
B  0.0000  0.5000  0.8369  6 Ni 1.96-2.02

Results
DOS at the Fermi energy = 5.19 states/eV/cell
energy of formation from the pure elements = -140 meV per atom

---

Record 4
Density functional theory data (PBE) for a relaxed Dy4Tl crystal.

Cell lengths 11.7899, 16.2815, 6.1986 Å; angles 90.00, 90.00, 90.00 degrees
Last column: nearest neighbours and their distance in Å.
Space group Fdd2 (No. 43)
Asymmetric unit:
Dy  0.0336  0.1999  0.0000  2 Tl 3.22-3.29, 8 Dy 3.28-3.59
Dy  0.0497  0.0994  0.5063  9 Dy 3.28-3.57, 2 Tl 3.37-3.66
Tl  0.0000  0.0000  0.0384  6 Dy 3.22-3.37

Results
ΔE to the lowest computed polymorph = 0.029 eV/atom
DOS at the Fermi energy = 45.55 states/eV/cell
energy of formation from the pure elements = -71 meV per atom